(1)
6
Lattice="0.000 3.294 3.294 3.294 0.000 3.294 3.294 3.294 0.000" Properties=species:S:1:pos:R:3 comment="Li4ReRu (PBE, optimized geometry)" e_form_ev_per_atom=0.42 pbc="T T T"
Li 2.468 2.468 2.468
Li 2.468 4.119 4.119
Li 4.119 4.119 2.468
Li 4.119 2.468 4.119
Re 4.941 4.941 4.941
Ru 0.000 0.000 0.000

=====

(2)
6
Lattice="0.000 3.554 3.554 3.554 0.000 3.554 3.554 3.554 0.000" Properties=species:S:1:pos:R:3 comment="LiReRu4 (PBE, optimized geometry)" e_form_ev_per_atom=0.49 pbc="T T T"
Ru 4.439 4.439 2.669
Ru 2.669 4.439 4.439
Ru 4.439 2.669 4.439
Ru 2.669 2.669 2.669
Li 5.331 5.331 5.331
Re 0.000 0.000 0.000

=====

(3)
5
Lattice="-0.827 -1.883 -4.230 2.759 -3.651 1.086 -3.718 -2.291 1.747" Properties=species:S:1:pos:R:3 comment="LiReRu3 (PBE, optimized geometry)" e_form_ev_per_atom=1.40 pbc="T T T"
Re 0.000 0.000 0.000
Ru -0.413 -0.942 -2.115
Ru -1.859 -1.145 0.873
Ru 1.380 -1.825 0.543
Li -0.893 -3.912 -0.698

=====

(4)
4
Lattice="4.215 0.000 0.000 2.107 3.650 0.000 2.107 1.217 3.441" Properties=species:S:1:pos:R:3 comment="LiReSiRu (PBE, optimized geometry)" formation_energy_uncorrected_mev_per_atom=-132.5 pbc="T T T"
Li 2.107 1.217 0.860
Si 4.215 2.433 1.721
Re 6.322 3.650 2.581
Ru 0.000 0.000 0.000

=====

(5)
5
Lattice="4.045 0.000 0.000 0.000 4.144 0.000 0.000 0.000 4.045" Properties=species:S:1:pos:R:3 comment="LiVReRu2 (PBE, optimized geometry)" e_form_ev_per_atom=1.00 pbc="T T T"
Li 0.000 0.000 0.000
Ru 0.000 0.000 2.022
Ru 2.022 0.000 0.000
V 2.022 2.072 2.022
Re 0.000 2.072 0.000

=====

(6)
8
Lattice="5.456 0.000 0.000 0.000 5.456 0.000 2.728 2.728 5.428" Properties=species:S:1:pos:R:3 comment="LiReS2 (PBE, optimized geometry)" formation_energy_uncorrected_mev_per_atom=-395.5 relative_energy_kcal_per_mol_atoms=0.00 pbc="T T T"
Li 2.728 5.456 2.714
Li 2.728 2.728 0.000
S 4.092 3.910 4.071
S 4.273 1.364 1.357
S 1.182 4.092 1.357
S 6.820 7.001 4.071
Re 0.000 0.000 0.000
Re 5.456 2.728 2.714

=====

(7)
13
Lattice="5.512 0.000 -2.974 -3.558 5.154 0.000 0.705 0.487 7.902" Properties=species:S:1:pos:R:3 comment="LiRe4S8 (PBE, optimized geometry)" formation_energy_uncorrected_mev_per_atom=-293.1 pbc="T T T"
S 4.728 1.367 -1.120
S -0.296 1.705 6.047
S -2.069 4.274 6.047
S 1.980 1.367 0.363
S 2.466 1.702 4.570
S 0.193 3.939 0.357
S 0.678 4.274 4.565
S 2.954 3.936 -1.120
Re 2.756 0.000 -1.487
Re 0.977 2.577 -1.487
Re -1.779 2.577 0.000
Re 0.000 0.000 0.000
Li -1.427 2.821 3.951

=====

(8)
5
Lattice="-3.232 2.405 1.658 -1.872 0.192 -3.929 -2.242 -3.627 0.891" Properties=species:S:1:pos:R:3 comment="LiRe3S (PBE, optimized geometry)" formation_energy_uncorrected_mev_per_atom=969.1 relative_energy_kcal_per_mol_atoms=0.00 pbc="T T T"
Re -1.616 1.203 0.829
Re -0.936 0.096 -1.965
Re -1.121 -1.814 0.445
Li -3.673 -0.515 -0.691
S 0.000 0.000 0.000

=====

(9)
5
Lattice="-2.069 2.485 2.655 -3.386 -2.429 -0.365 1.325 -2.329 3.213" Properties=species:S:1:pos:R:3 comment="LiRe3S (PBE, optimized geometry)" formation_energy_uncorrected_mev_per_atom=1960.1 relative_energy_kcal_per_mol_atoms=22.85 pbc="T T T"
Li 0.000 0.000 0.000
S -2.065 -1.137 2.751
Re -1.034 1.242 1.327
Re -1.693 -1.215 -0.182
Re 0.663 -1.165 1.606

=====

(10)
8
Lattice="7.483 0.000 0.000 0.000 7.483 0.000 3.742 3.742 2.217" Properties=species:S:1:pos:R:3 comment="LiRe2S (PBE, optimized geometry)" formation_energy_uncorrected_mev_per_atom=422.8 pbc="T T T"
Re 1.237 5.612 0.554
Re 5.612 4.979 1.663
Re 6.246 1.871 0.554
Re 9.354 9.987 1.663
S 7.483 3.742 1.109
S 0.000 0.000 0.000
Li 3.742 3.742 0.000
Li 3.742 7.483 1.109

=====

(11)
4
Lattice="-1.684 -3.473 1.659 -4.175 -0.418 0.206 -1.958 -2.774 -2.474" Properties=species:S:1:pos:R:3 comment="LiReS2 (PBE, optimized geometry)" formation_energy_uncorrected_mev_per_atom=-286.5 relative_energy_kcal_per_mol_atoms=2.51 pbc="T T T"
S -5.862 -4.999 -0.456
S -1.954 -1.666 -0.152
Li 0.000 0.000 0.000
Re -3.908 -3.332 -0.304

=====

(12)
5
Lattice="4.947 0.000 0.000 0.000 4.947 0.000 0.000 0.000 4.947" Properties=species:S:1:pos:R:3 comment="Li3ReS (PBE, optimized geometry)" formation_energy_uncorrected_mev_per_atom=1234.6 relative_energy_kcal_per_mol_atoms=18.06 pbc="T T T"
Re 0.000 0.000 0.000
S 2.473 2.473 2.473
Li 2.473 0.000 0.000
Li 0.000 0.000 2.473
Li 0.000 2.473 0.000

=====

(13)
5
Lattice="-3.340 3.072 -0.139 -1.902 -1.902 3.658 2.417 2.749 2.686" Properties=species:S:1:pos:R:3 comment="Li3ReS (PBE, optimized geometry)" formation_energy_uncorrected_mev_per_atom=451.5 relative_energy_kcal_per_mol_atoms=0.00 pbc="T T T"
Li -0.951 -0.951 1.829
Li 1.209 1.374 1.343
Li -1.670 1.536 -0.069
Re -1.412 1.959 3.103
S 0.000 0.000 0.000

=====

(14)
8
Lattice="-5.802 -3.234 2.789 3.507 -6.293 -0.001 -0.387 -4.340 3.466" Properties=species:S:1:pos:R:3 comment="Li2ReS (PBE, optimized geometry)" formation_energy_uncorrected_mev_per_atom=186.4 pbc="T T T"
Li -2.483 -11.259 5.039
Li -0.966 -7.159 3.645
Li -2.979 -3.723 2.462
Li 1.064 -5.593 1.361
Re 0.000 0.000 0.000
Re -3.668 -6.169 3.824
S -1.147 -4.763 1.394
S 0.986 -7.698 2.429

=====

(15)
4
Lattice="-7.230 3.780 1.115 -5.414 5.707 2.434 -5.810 5.814 -0.495" Properties=species:S:1:pos:R:3 comment="LiReS2 (PBE, optimized geometry)" formation_energy_uncorrected_mev_per_atom=6.6 relative_energy_kcal_per_mol_atoms=9.27 pbc="T T T"
S -16.735 13.876 2.769
S -1.719 1.425 0.284
Re 0.000 0.000 0.000
Li -9.227 7.650 1.527

=====

(16)
4
Lattice="-7.931 -0.280 -0.749 -7.572 -0.276 2.475 -7.515 2.522 0.834" Properties=species:S:1:pos:R:3 comment="LiReS2 (PBE, optimized geometry)" formation_energy_uncorrected_mev_per_atom=-302.3 relative_energy_kcal_per_mol_atoms=2.15 pbc="T T T"
S -2.300 0.197 0.256
S -20.718 1.770 2.304
Re -11.509 0.983 1.280
Li 0.000 0.000 0.000

=====

(17)
5
Lattice="-0.522 -4.909 -2.168 4.146 0.063 -1.141 1.334 -2.229 4.725" Properties=species:S:1:pos:R:3 comment="LiReSb2S (PBE, optimized geometry)" formation_energy_uncorrected_mev_per_atom=723.5 pbc="T T T"
Re 2.073 0.032 -0.570
S 0.000 0.000 0.000
Sb -0.261 -2.455 -1.084
Sb 0.667 -1.114 2.362
Li 2.479 -3.537 0.708

=====

(18)
5
Lattice="4.766 0.000 0.000 0.000 4.857 0.000 0.000 0.000 4.766" Properties=species:S:1:pos:R:3 comment="Li2ScReS (PBE, optimized geometry)" formation_energy_uncorrected_mev_per_atom=808.9 pbc="T T T"
Sc 0.000 2.429 0.000
Re 0.000 0.000 0.000
Li 0.000 0.000 2.383
Li 2.383 0.000 0.000
S 2.383 2.429 2.383

=====

(19)
5
Lattice="-3.901 -0.656 -1.858 1.642 -3.625 -2.167 -1.173 -2.538 3.358" Properties=species:S:1:pos:R:3 comment="LiTaRe2S (PBE, optimized geometry)" formation_energy_uncorrected_mev_per_atom=739.1 pbc="T T T"
Re -1.950 -0.328 -0.929
Re -0.586 -1.269 1.679
S 0.000 0.000 0.000
Li -1.716 -3.410 -0.333
Ta 0.821 -1.813 -1.083

=====

(20)
8
Lattice="-6.323 1.755 0.015 2.246 -1.283 -6.031 1.068 -5.603 3.245" Properties=species:S:1:pos:R:3 comment="LiTl2ReS4 (PBE, optimized geometry)" formation_energy_uncorrected_mev_per_atom=-424.3 pbc="T T T"
Tl 0.000 0.000 0.000
Tl -1.210 -1.485 -3.705
Re 1.657 -3.443 -1.393
S 0.622 -3.265 0.566
S -4.645 0.239 -2.486
S -2.562 -2.296 -1.001
S 0.565 -4.939 -2.622
Li -1.799 -3.645 0.933

=====

(21)
5
Lattice="-3.804 -0.052 -2.374 2.189 -0.908 -3.487 -0.468 -4.379 0.847" Properties=species:S:1:pos:R:3 comment="LiYReS2 (PBE, optimized geometry)" formation_energy_uncorrected_mev_per_atom=226.6 pbc="T T T"
Li 0.000 0.000 0.000
S -0.234 -2.189 0.423
S -1.902 -0.026 -1.187
Re 1.095 -0.454 -1.743
Y -1.041 -2.670 -2.507

=====

(22)
5
Lattice="4.350 0.000 0.000 0.000 3.745 0.000 0.000 0.000 4.350" Properties=species:S:1:pos:R:3 comment="LiZnRe2S (PBE, optimized geometry)" formation_energy_uncorrected_mev_per_atom=1463.0 pbc="T T T"
Zn 2.175 1.873 2.175
Re 0.000 0.000 2.175
Re 2.175 0.000 0.000
Li 0.000 0.000 0.000
S 0.000 1.873 0.000

=====

(23)
4
Lattice="-3.915 8.535 2.046 -4.879 7.041 4.356 -2.225 8.247 4.404" Properties=species:S:1:pos:R:3 comment="Li2ReSb (PBE, optimized geometry)" formation_energy_uncorrected_mev_per_atom=380.3 pbc="T T T"
Li -5.558 12.016 5.451
Li -10.970 23.718 10.759
Sb -8.264 17.867 8.105
Re -2.755 5.956 2.702

=====

(24)
4
Lattice="3.368 0.000 0.000 0.000 3.381 0.000 0.000 0.000 5.840" Properties=species:S:1:pos:R:3 comment="Li2ReSb (PBE, optimized geometry)" formation_energy_uncorrected_mev_per_atom=146.9 pbc="T T T"
Li 1.684 1.691 1.473
Li 0.000 0.000 0.094
Re 0.000 0.000 2.949
Sb 1.684 1.691 4.244

=====

(25)
4
Lattice="-0.901 2.783 1.956 -3.150 -1.446 0.607 1.921 -2.386 4.279" Properties=species:S:1:pos:R:3 comment="Li2ReSb (PBE, optimized geometry)" formation_energy_uncorrected_mev_per_atom=388.0 pbc="T T T"
Li 0.913 -1.134 2.035
Li 0.047 -0.058 0.105
Re -1.545 0.072 2.351
Sb -0.585 -1.121 4.491

=====

(26)
8
Lattice="7.292 0.000 0.000 0.000 7.292 0.000 3.646 3.646 2.577" Properties=species:S:1:pos:R:3 comment="Li2ReSb (PBE, optimized geometry)" formation_energy_uncorrected_mev_per_atom=586.5 pbc="T T T"
Sb 3.646 7.292 1.289
Sb 3.646 3.646 0.000
Li 9.115 9.159 1.933
Li 5.513 1.823 0.644
Li 5.469 5.425 1.933
Li 1.779 5.469 0.644
Re 7.292 3.646 1.289
Re 0.000 0.000 0.000

=====

(27)
4
Lattice="-0.817 0.078 -4.606 2.219 -1.549 -0.420 -2.916 -4.310 0.445" Properties=species:S:1:pos:R:3 comment="Li2ReSb (PBE, optimized geometry)" formation_energy_uncorrected_mev_per_atom=208.4 pbc="T T T"
Li -0.903 -1.308 -2.238
Li -2.622 -4.465 0.390
Sb -1.219 -4.181 -2.231
Re -0.035 -3.068 -0.045

=====

(28)
4
Lattice="-1.702 2.783 3.569 -3.810 1.200 2.724 1.090 -3.487 3.812" Properties=species:S:1:pos:R:3 comment="Li2ReSb (PBE, optimized geometry)" formation_energy_uncorrected_mev_per_atom=248.2 pbc="T T T"
Re -2.215 0.267 5.031
Li -4.420 0.540 10.020
Li -3.348 0.385 7.636
Sb -1.069 0.050 2.576

=====

Number 1: D(E_F) 4.2 states/eV/cell. Number 2: D(E_F) 7.8 states/eV/cell. Number 3: D(E_F) 5.6 states/eV/cell. Number 4: D(E_F) 2.6 states/eV/cell. Number 5: D(E_F) 6.7 states/eV/cell. Number 6: D(E_F) 3.6 states/eV/cell. Number 7: D(E_F) 11.7 states/eV/cell. Number 8: D(E_F) 5.0 states/eV/cell. Number 9: D(E_F) 5.3 states/eV/cell. Number 10: D(E_F) 5.7 states/eV/cell. Number 11: D(E_F) 0.0 states/eV/cell. Number 12: D(E_F) 6.8 states/eV/cell. Number 13: D(E_F) 1.9 states/eV/cell. Number 14: D(E_F) 5.5 states/eV/cell. Number 15: D(E_F) 2.0 states/eV/cell. Number 16: D(E_F) 2.1 states/eV/cell. Number 17: D(E_F) 2.2 states/eV/cell. Number 18: D(E_F) 5.2 states/eV/cell. Number 19: D(E_F) 3.6 states/eV/cell. Number 20: D(E_F) 2.0 states/eV/cell. Number 21: D(E_F) 3.4 states/eV/cell. Number 22: D(E_F) 4.4 states/eV/cell. Number 23: D(E_F) 4.4 states/eV/cell. Number 24: D(E_F) 1.6 states/eV/cell. Number 25: D(E_F) 3.1 states/eV/cell. Number 26: D(E_F) 0.6 states/eV/cell. Number 27: D(E_F) 3.0 states/eV/cell. Number 28: D(E_F) 2.1 states/eV/cell.